A plane-wave DFT calculation with PBE-GGA was carried out for an optimized crystal structure of Cd3In12Hg5.

Results
VASP energy	-1.717	eV/atom

```
data_Cd3In12Hg5
_cell_length_a 17.103
_cell_length_b 17.103
_cell_length_c 17.103
_cell_angle_alpha 90.00
_cell_angle_beta 90.00
_cell_angle_gamma 90.00
_symmetry_space_group_name_H-M 'I a -3 d'
_symmetry_Int_Tables_number 230
_symmetry_space_group_name_Hall '-I 4bd 2c 3'
loop_
_atom_site_label
_atom_site_type_symbol
_atom_site_fract_x
_atom_site_fract_y
_atom_site_fract_z
_atom_site_occupancy
Cd1 Cd 0.000 0.250 0.125 1
In1 In 0.017 0.080 0.650 1
Hg1 Hg 0.000 0.000 0.000 1
Hg2 Hg 0.000 0.250 0.375 1
```



A plane-wave DFT calculation with PBE-GGA was carried out for an optimized crystal structure of Cd8In2Hg3.

Results
VASP energy	-1.008	eV/atom
relative energy among the computed polymorphs	0.0	meV/atom

```
data_Cd8In2Hg3
_cell_length_a 11.059
_cell_length_b 11.191
_cell_length_c 5.445
_cell_angle_alpha 90.00
_cell_angle_beta 104.93
_cell_angle_gamma 90.00
_symmetry_space_group_name_H-M 'C 1 2/m 1'
_symmetry_Int_Tables_number 12
loop_
_symmetry_equiv_pos_as_xyz
'x,y,z'
'-x,-y,-z'
'-x,y,-z'
'x,-y,z'
'x+1/2,y+1/2,z'
'-x+1/2,-y+1/2,-z'
'-x+1/2,y+1/2,-z'
'x+1/2,-y+1/2,z'
loop_
_atom_site_label
_atom_site_type_symbol
_atom_site_fract_x
_atom_site_fract_y
_atom_site_fract_z
_atom_site_occupancy
Cd1 Cd 0.070 0.000 0.289 1
Cd2 Cd 0.142 0.500 0.560 1
Cd3 Cd 0.184 0.244 0.199 1
In1 In 0.213 0.000 0.870 1
Hg1 Hg 0.000 0.250 0.500 1
Hg2 Hg 0.000 0.500 0.000 1
```



A plane-wave DFT calculation with PBE-GGA was carried out for an optimized crystal structure of Cd2In9Hg.

Results
VASP energy	-2.216	eV/atom

```
data_Cd2In9Hg
_cell_length_a 4.715
_cell_length_b 4.715
_cell_length_c 14.177
_cell_angle_alpha 90.00
_cell_angle_beta 90.00
_cell_angle_gamma 90.00
_symmetry_space_group_name_H-M 'P 4/m m m'
_symmetry_Int_Tables_number 123
_symmetry_space_group_name_Hall '-P 4 2'
loop_
_atom_site_label
_atom_site_type_symbol
_atom_site_fract_x
_atom_site_fract_y
_atom_site_fract_z
_atom_site_occupancy
Cd1 Cd 0.000 0.000 0.167 1
In1 In 0.000 0.500 0.000 1
In2 In 0.000 0.500 0.332 1
In3 In 0.500 0.500 0.165 1
In4 In 0.500 0.500 0.500 1
Hg1 Hg 0.000 0.000 0.500 1
```



| no. | Fermi-level density of states (states/eV per atom) |
| --- | --- |
| 1 | 0.593 |
| 2 | 0.320 |
| 3 | 0.231 |